1.
First-principles (PBE) data for an optimized crystal structure of TaMoOsPt, as listed in the Alexandria database.

a b c (Å): 4.013 3.961 3.954
angles (deg): 90.00 90.00 90.00
Fractional positions:
Pt (0.000, 0.500, 0.500)
Os (0.500, 0.000, 0.500)
Ta (0.000, 0.000, 0.000)
Mo (0.500, 0.500, 0.000)

## Properties
Crystal system = orthorhombic
VASP energy = -10.32 eV per atom
Symmetry = No. 47
M_tot = 0.000 Bohr magnetons per cell
Calculated volume = 63 Å³ per cell
Theoretical density = 17.5 g/cm³
Formation enthalpy at 0 K = -0.3286 eV per atom



2.
First-principles (PBE) data for an optimized crystal structure of Dy2HoAlC, as listed in the Alexandria database.

a b c (Å): 4.856 4.885 4.885
angles (deg): 90.00 90.00 90.00
Fractional positions:
Dy (0.000, 0.500, 0.000)
Dy (0.000, 0.000, 0.500)
C (0.000, 0.000, 0.000)
Ho (0.500, 0.000, 0.000)
Al (0.500, 0.500, 0.500)

## Properties
Crystal system = tetragonal
VASP energy = -5.75 eV per atom
Symmetry = No. 123
M_tot = 0.000 Bohr magnetons per cell
Calculated volume = 116 Å³ per cell
Theoretical density = 7.6 g/cm³
Formation enthalpy at 0 K = -0.3958 eV per atom